[1]
The following is a PBE calculation of crystalline CrInSe2 at its relaxed geometry, from Alexandria.

a = 7.695 Å, b = 7.695 Å, c = 7.695 Å
α = 151.39°, β = 151.39°, γ = 40.90°
Sites, in units of the cell vectors:
Cr 0.000 0.000 0.000
In 0.250 0.750 0.500
Se 0.500 0.500 0.000
Se 0.750 0.250 0.500

## Properties
- size of the total moment (μB/f.u.) = 4.18
- E_tot (eV/atom) = -4.868
- volume (Å³/atom) = 26.06
- DOS(E_F) (states/eV/cell) = 2.289
- formation energy (no corrections) (eV/atom) = -0.04

=====

[2]
The following is a PBE calculation of crystalline CrIn2Se at its relaxed geometry, from Alexandria.

a = 9.831 Å, b = 9.831 Å, c = 9.831 Å
α = 19.79°, β = 19.79°, γ = 19.79°
Sites, in units of the cell vectors:
Cr 0.000 0.000 0.000
In 0.504 0.504 0.504
In 0.744 0.744 0.744
Se 0.284 0.284 0.284

## Properties
- size of the total moment (μB/f.u.) = 2.80
- E_tot (eV/atom) = -4.692
- volume (Å³/atom) = 23.81
- DOS(E_F) (states/eV/cell) = 1.886
- formation energy (no corrections) (eV/atom) = -0.05

=====

[3]
The following is a PBE calculation of crystalline CrInSe2 at its relaxed geometry, from Alexandria.

a = 6.068 Å, b = 6.068 Å, c = 5.105 Å
α = 101.36°, β = 101.36°, γ = 35.15°
Sites, in units of the cell vectors:
Cr 0.000 0.000 0.000
In 0.843 0.843 0.340
Se 0.359 0.359 0.776
Se 0.605 0.605 0.277

## Properties
- size of the total moment (μB/f.u.) = 3.09
- E_tot (eV/atom) = -5.111
- volume (Å³/atom) = 26.47
- DOS(E_F) (states/eV/cell) = 0.668
- formation energy (no corrections) (eV/atom) = -0.28

=====

[4]
The following is a PBE calculation of crystalline Cr2InSe at its relaxed geometry, from Alexandria.

a = 5.300 Å, b = 5.300 Å, c = 5.300 Å
α = 142.47°, β = 118.48°, γ = 74.35°
Sites, in units of the cell vectors:
Cr 0.224 0.224 0.000
Cr 0.776 0.776 0.000
In 0.500 0.000 0.500
Se 0.000 0.500 0.500

## Properties
- size of the total moment (μB/f.u.) = 7.43
- E_tot (eV/atom) = -5.978
- volume (Å³/atom) = 19.52
- DOS(E_F) (states/eV/cell) = 3.037
- formation energy (no corrections) (eV/atom) = 0.39

=====

[5]
The following is a PBE calculation of crystalline CrIn2Se at its relaxed geometry, from Alexandria.

a = 4.138 Å, b = 4.138 Å, c = 5.505 Å
α = 90.00°, β = 90.00°, γ = 90.00°
Sites, in units of the cell vectors:
Cr 0.000 0.000 0.000
In 0.000 0.500 0.500
In 0.500 0.000 0.500
Se 0.500 0.500 0.000

## Properties
- size of the total moment (μB/f.u.) = 4.57
- E_tot (eV/atom) = -4.443
- volume (Å³/atom) = 23.56
- DOS(E_F) (states/eV/cell) = 2.065
- formation energy (no corrections) (eV/atom) = 0.20

=====

[6]
The following is a PBE calculation of crystalline Cr2InSe at its relaxed geometry, from Alexandria.

a = 6.035 Å, b = 6.035 Å, c = 6.035 Å
α = 105.62°, β = 105.62°, γ = 117.49°
Sites, in units of the cell vectors:
Cr 0.088 0.125 0.463
Cr 0.375 0.912 0.037
Cr 0.662 0.625 0.537
Cr 0.875 0.338 0.963
In 0.250 0.750 0.500
In 0.500 0.500 0.000
Se 0.000 0.000 0.000
Se 0.750 0.250 0.500

## Properties
- size of the total moment (μB/f.u.) = 7.77
- E_tot (eV/atom) = -5.958
- volume (Å³/atom) = 20.83
- DOS(E_F) (states/eV/cell) = 6.551
- formation energy (no corrections) (eV/atom) = 0.41